Entry a
{
  "formula": "Ta17Co12",
  "functional": "PBE-GGA",
  "state": "optimized geometry",
  "magnetic_moment_mub_per_cell": 0.6,
  "spacegroup": "I-43m (217)",
  "cell": [[-4.798, 4.798, 4.798], [4.798, -4.798, 4.798], [4.798, 4.798, -4.798]],
  "species": ["Ta", "Ta", "Ta", "Ta", "Ta", "Ta", "Ta", "Ta", "Ta", "Ta", "Ta", "Ta", "Ta", "Ta", "Ta", "Ta", "Ta", "Co", "Co", "Co", "Co", "Co", "Co", "Co", "Co", "Co", "Co", "Co", "Co"],
  "frac_coords": [[0.000, 0.000, 0.000], [0.000, 0.000, 0.638], [0.000, 0.202, 0.401], [0.000, 0.401, 0.202], [0.000, 0.638, 0.000], [0.198, 0.798, 0.798], [0.202, 0.000, 0.401], [0.202, 0.401, 0.000], [0.362, 0.362, 0.362], [0.401, 0.000, 0.202], [0.401, 0.202, 0.000], [0.599, 0.599, 0.802], [0.599, 0.802, 0.599], [0.638, 0.000, 0.000], [0.798, 0.198, 0.798], [0.798, 0.798, 0.198], [0.802, 0.599, 0.599], [0.000, 0.417, 0.691], [0.000, 0.691, 0.417], [0.274, 0.583, 0.583], [0.309, 0.309, 0.726], [0.309, 0.726, 0.309], [0.417, 0.000, 0.691], [0.417, 0.691, 0.000], [0.583, 0.274, 0.583], [0.583, 0.583, 0.274], [0.691, 0.000, 0.417], [0.691, 0.417, 0.000], [0.726, 0.309, 0.309]]
}

=====

Entry b
{
  "formula": "Ta17Co12",
  "functional": "PBE-GGA",
  "state": "optimized geometry",
  "magnetic_moment_mub_per_cell": 0.3,
  "spacegroup": "I-43m (217)",
  "cell": [[-4.760, 4.760, 4.760], [4.760, -4.760, 4.760], [4.760, 4.760, -4.760]],
  "species": ["Ta", "Ta", "Ta", "Ta", "Ta", "Ta", "Ta", "Ta", "Ta", "Ta", "Ta", "Ta", "Ta", "Ta", "Ta", "Ta", "Ta", "Co", "Co", "Co", "Co", "Co", "Co", "Co", "Co", "Co", "Co", "Co", "Co"],
  "frac_coords": [[0.000, 0.000, 0.000], [0.000, 0.000, 0.664], [0.000, 0.397, 0.685], [0.000, 0.664, 0.000], [0.000, 0.685, 0.397], [0.289, 0.603, 0.603], [0.315, 0.315, 0.711], [0.315, 0.711, 0.315], [0.336, 0.336, 0.336], [0.397, 0.000, 0.685], [0.397, 0.685, 0.000], [0.603, 0.289, 0.603], [0.603, 0.603, 0.289], [0.664, 0.000, 0.000], [0.685, 0.000, 0.397], [0.685, 0.397, 0.000], [0.711, 0.315, 0.315], [0.000, 0.187, 0.372], [0.000, 0.372, 0.187], [0.185, 0.813, 0.813], [0.187, 0.000, 0.372], [0.187, 0.372, 0.000], [0.372, 0.000, 0.187], [0.372, 0.187, 0.000], [0.628, 0.628, 0.815], [0.628, 0.815, 0.628], [0.813, 0.185, 0.813], [0.813, 0.813, 0.185], [0.815, 0.628, 0.628]]
}

=====

Relative to the most stable one, in meV per atom, the structures come out at entry a 100; entry b 0.

=====

Entry a
{
  "formula": "Ta16Co13",
  "functional": "PBE-GGA",
  "state": "optimized geometry",
  "magnetic_moment_mub_per_cell": 0.1,
  "spacegroup": "I-43m (217)",
  "cell": [[-4.741, 4.741, 4.741], [4.741, -4.741, 4.741], [4.741, 4.741, -4.741]],
  "species": ["Ta", "Ta", "Ta", "Ta", "Ta", "Ta", "Ta", "Ta", "Ta", "Ta", "Ta", "Ta", "Ta", "Ta", "Ta", "Ta", "Co", "Co", "Co", "Co", "Co", "Co", "Co", "Co", "Co", "Co", "Co", "Co", "Co"],
  "frac_coords": [[0.000, 0.000, 0.691], [0.000, 0.398, 0.689], [0.000, 0.689, 0.398], [0.000, 0.691, 0.000], [0.291, 0.602, 0.602], [0.309, 0.309, 0.309], [0.311, 0.311, 0.709], [0.311, 0.709, 0.311], [0.398, 0.000, 0.689], [0.398, 0.689, 0.000], [0.602, 0.291, 0.602], [0.602, 0.602, 0.291], [0.689, 0.000, 0.398], [0.689, 0.398, 0.000], [0.691, 0.000, 0.000], [0.709, 0.311, 0.311], [0.000, 0.000, 0.000], [0.000, 0.186, 0.372], [0.000, 0.372, 0.186], [0.185, 0.814, 0.814], [0.186, 0.000, 0.372], [0.186, 0.372, 0.000], [0.372, 0.000, 0.186], [0.372, 0.186, 0.000], [0.628, 0.628, 0.815], [0.628, 0.815, 0.628], [0.814, 0.185, 0.814], [0.814, 0.814, 0.185], [0.815, 0.628, 0.628]]
}

=====

Entry b
{
  "formula": "Ta16Co13",
  "functional": "PBE-GGA",
  "state": "optimized geometry",
  "magnetic_moment_mub_per_cell": 5.2,
  "spacegroup": "I-43m (217)",
  "cell": [[-4.787, 4.787, 4.787], [4.787, -4.787, 4.787], [4.787, 4.787, -4.787]],
  "species": ["Ta", "Ta", "Ta", "Ta", "Ta", "Ta", "Ta", "Ta", "Ta", "Ta", "Ta", "Ta", "Ta", "Ta", "Ta", "Ta", "Co", "Co", "Co", "Co", "Co", "Co", "Co", "Co", "Co", "Co", "Co", "Co", "Co"],
  "frac_coords": [[0.000, 0.000, 0.657], [0.000, 0.202, 0.408], [0.000, 0.408, 0.202], [0.000, 0.657, 0.000], [0.202, 0.000, 0.408], [0.202, 0.408, 0.000], [0.206, 0.798, 0.798], [0.343, 0.343, 0.343], [0.408, 0.000, 0.202], [0.408, 0.202, 0.000], [0.592, 0.592, 0.794], [0.592, 0.794, 0.592], [0.657, 0.000, 0.000], [0.794, 0.592, 0.592], [0.798, 0.206, 0.798], [0.798, 0.798, 0.206], [0.000, 0.000, 0.000], [0.000, 0.426, 0.694], [0.000, 0.694, 0.426], [0.268, 0.574, 0.574], [0.306, 0.306, 0.732], [0.306, 0.732, 0.306], [0.426, 0.000, 0.694], [0.426, 0.694, 0.000], [0.574, 0.268, 0.574], [0.574, 0.574, 0.268], [0.694, 0.000, 0.426], [0.694, 0.426, 0.000], [0.732, 0.306, 0.306]]
}

=====

Relative to the most stable one, in meV per atom, the structures come out at entry a 0; entry b 212.